Entry 1:
Below is a relaxed structure of LaNiAg2Os, with properties calculated at the PBE level.

Cell: 5.097 5.097 4.529 Å, 90.00 90.00 90.00°
Fractional positions:
La 0.000 0.000 0.000
Ni 0.500 0.500 0.000
Ag 0.000 0.500 0.500
Ag 0.500 0.000 0.500
Os 0.500 0.500 0.500

## Properties
D(E_F)	0.928	states/eV/atom
volume	23.53	Å³ per atom
formation energy from the elements	3.16	eV per formula unit

Entry 2:
Below is a relaxed structure of La2NiAgPb, with properties calculated at the PBE level.

Cell: 5.806 5.806 5.109 Å, 90.00 90.00 90.00°
Fractional positions:
La 0.000 0.500 0.000
La 0.500 0.000 0.000
Ni 0.000 0.000 0.500
Ag 0.500 0.500 0.000
Pb 0.500 0.500 0.500

## Properties
distance to the lowest polymorph of the same formula	848	meV/atom
D(E_F)	1.646	states/eV/atom
volume	34.44	Å³ per atom
formation energy from the elements	2.87	eV per formula unit

Entry 3:
Below is a relaxed structure of LaNiAgPb, with properties calculated at the PBE level.

Cell: 7.094 7.094 7.094 Å, 90.00 90.00 90.00°
Fractional positions:
La 0.000 0.000 0.000
La 0.000 0.500 0.500
La 0.500 0.000 0.500
La 0.500 0.500 0.000
Ni 0.250 0.250 0.750
Ni 0.250 0.750 0.250
Ni 0.750 0.250 0.250
Ni 0.750 0.750 0.750
Ag 0.250 0.250 0.250
Ag 0.250 0.750 0.750
Ag 0.750 0.250 0.750
Ag 0.750 0.750 0.250
Pb 0.000 0.000 0.500
Pb 0.000 0.500 0.000
Pb 0.500 0.000 0.000
Pb 0.500 0.500 0.500

## Properties
D(E_F)	0.827	states/eV/atom
volume	22.31	Å³ per atom
formation energy from the elements	-0.81	eV per formula unit

Entry 4:
Below is a relaxed structure of La2NiAgPb, with properties calculated at the PBE level.

Cell: 5.322 5.322 4.937 Å, 90.00 90.00 90.00°
Fractional positions:
La 0.000 0.500 0.000
La 0.500 0.000 0.000
Ni 0.000 0.000 0.000
Ag 0.000 0.000 0.500
Pb 0.500 0.500 0.500

## Properties
distance to the lowest polymorph of the same formula	0	meV/atom
D(E_F)	0.661	states/eV/atom
volume	27.97	Å³ per atom
formation energy from the elements	-1.38	eV per formula unit

Entry 5:
Below is a relaxed structure of La2NiAgS, with properties calculated at the PBE level.

Cell: 5.254 5.254 4.742 Å, 90.00 90.00 90.00°
Fractional positions:
La 0.000 0.500 0.000
La 0.500 0.000 0.000
Ni 0.000 0.000 0.000
Ag 0.000 0.000 0.500
S 0.500 0.500 0.500

## Properties
formation energy without anion corrections	-0.497	eV per atom
D(E_F)	0.632	states/eV/atom
volume	26.18	Å³ per atom

Entry 6:
Below is a relaxed structure of La2Ni4AgSb3, with properties calculated at the PBE level.

Cell: 4.454 4.454 10.118 Å, 90.00 90.00 90.00°
Fractional positions:
La 0.000 0.500 0.242
La 0.500 0.000 0.758
Ni 0.000 0.000 0.000
Ni 0.000 0.500 0.626
Ni 0.500 0.000 0.374
Ni 0.500 0.500 0.000
Ag 0.000 0.000 0.500
Sb 0.000 0.500 0.872
Sb 0.500 0.000 0.128
Sb 0.500 0.500 0.500

## Properties
formation energy without anion corrections	-0.617	eV per atom
D(E_F)	0.654	states/eV/atom
volume	20.07	Å³ per atom